# 1
DFT (PBE) results for an optimized crystal structure of HgRhSeS.

Structure (POSCAR):
```
HgRhSeS
1.0
3.323 0.000 0.000
1.653 2.909 0.000
0.376 0.345 9.581
Hg Rh Se S
1 1 1 1
Cartesian
0.000 0.000 0.000
3.563 2.148 4.477
1.906 3.135 6.329
0.247 0.215 3.228
```

Results
DOS at the Fermi energy: 2.86 states/eV/cell
E_form (uncorrected): -0.09 eV/atom

=====

# 2
DFT (PBE) results for an optimized crystal structure of HgTe2RhS.

Structure (POSCAR):
```
HgTe2RhS
1.0
5.223 0.000 0.000
0.000 5.223 0.000
0.000 0.000 4.870
Hg Te Rh S
1 2 1 1
Cartesian
0.000 0.000 0.000
0.000 2.612 2.435
2.612 0.000 2.435
2.612 2.612 0.000
0.000 0.000 2.435
```

Results
DOS at the Fermi energy: 3.99 states/eV/cell
E_form (uncorrected): 0.84 eV/atom

=====

What is the formula in the first record? HgRhSeS

=====

Which value of E_form (uncorrected) does entry 1 give? -0.09 eV/atom

=====

Among the records above, which one has the lowest E_form (uncorrected)? HgRhSeS

=====

Which formula does entry 1 have? HgRhSeS